Computed, not measured: a geometry-optimized NbGe structure at the GGA-PBE level of DFT.

Cell and atoms, written as extended XYZ:
```
12
Lattice="-4.107 5.946 -1.264 -2.925 -6.693 -0.689 -1.353 0.094 4.837" Properties=species:S:1:pos:R:3 pbc="T T T"
Nb -1.837 -2.480 0.839
Nb -3.791 3.428 2.787
Nb -4.540 -0.808 0.050
Nb -6.549 1.826 2.046
Nb -4.595 -4.082 0.098
Nb -3.846 0.155 2.835
Ge -3.614 4.381 0.209
Ge -6.302 -0.716 2.164
Ge -6.458 0.826 -0.518
Ge -4.772 -5.034 2.676
Ge -2.083 0.062 0.720
Ge -1.928 -1.479 3.403
```

The calculation puts the calculated volume at 234.2 Å³/cell. The value obtained for the total energy is -86.357 eV for the cell shown. The space group is No. 176.